## Li5NiO4 (PBE+U)

Data for an optimized crystal structure of Li5NiO4.

```
Li5NiO4
1.0
4.709 0.000 0.000
0.000 6.365 0.000
0.000 0.000 6.559
Li Ni O
10 2 8
direct
0.253 0.758 0.801
0.253 0.242 0.801
0.794 0.500 0.000
0.253 0.758 0.199
0.253 0.242 0.199
0.747 0.742 0.301
0.747 0.258 0.301
0.206 0.000 0.500
0.747 0.258 0.699
0.747 0.742 0.699
0.776 0.000 0.000
0.224 0.500 0.500
0.989 0.000 0.759
0.561 0.755 0.000
0.561 0.245 0.000
0.989 0.000 0.241
0.011 0.500 0.259
0.439 0.745 0.500
0.439 0.255 0.500
0.011 0.500 0.741
```

Calculated values
Calculated volume, Å³ per atom: 9.830
DOS at the Fermi energy, states/eV per cell: 0.00
Calculated total energy, eV/atom: -4.787